Entry 1:
# Na3H5C2O8 (PBE-GGA, relaxed)
data_Na3H5C2O8
_cell_length_a 10.262
_cell_length_b 10.262
_cell_length_c 10.464
_cell_angle_alpha 73.47
_cell_angle_beta 73.47
_cell_angle_gamma 20.11
_symmetry_space_group_name_H-M 'P 1'
_symmetry_Int_Tables_number 1
loop_
_symmetry_equiv_pos_as_xyz
'x,y,z'
loop_
_atom_site_label
_atom_site_type_symbol
_atom_site_fract_x
_atom_site_fract_y
_atom_site_fract_z
H1 H 0.222 0.396 0.758
H2 H 0.396 0.222 0.258
H3 H 0.006 0.472 0.863
H4 H 0.778 0.604 0.242
H5 H 0.604 0.778 0.742
H6 H 0.994 0.528 0.137
H7 H 0.000 0.000 0.000
H8 H 0.528 0.994 0.637
H9 H 0.472 0.006 0.363
H10 H 0.000 0.000 0.500
O1 O 0.818 0.073 0.490
O2 O 0.875 0.550 0.146
O3 O 0.744 0.560 0.895
O4 O 0.125 0.450 0.854
O5 O 0.182 0.927 0.510
O6 O 0.450 0.125 0.354
O7 O 0.560 0.744 0.395
O8 O 0.073 0.818 0.990
O9 O 0.821 0.324 0.790
O10 O 0.179 0.676 0.210
O11 O 0.676 0.179 0.710
O12 O 0.927 0.182 0.010
O13 O 0.324 0.821 0.290
O14 O 0.256 0.440 0.105
O15 O 0.440 0.256 0.605
O16 O 0.550 0.875 0.646
Na1 Na 0.254 0.746 0.750
Na2 Na 0.010 0.684 0.427
Na3 Na 0.746 0.254 0.250
Na4 Na 0.990 0.316 0.573
Na5 Na 0.684 0.010 0.927
Na6 Na 0.316 0.990 0.073
C1 C 0.359 0.827 0.394
C2 C 0.641 0.173 0.606
C3 C 0.827 0.359 0.894
C4 C 0.173 0.641 0.106
# space group	C2/c (15)
# total DFT energy (no corrections)	-0.427	Ry per atom

Entry 2:
# NaHCO3 (PBE-GGA, relaxed)
data_NaHCO3
_cell_length_a 9.797
_cell_length_b 3.553
_cell_length_c 8.150
_cell_angle_alpha 67.08
_cell_angle_beta 90.00
_cell_angle_gamma 90.00
_symmetry_space_group_name_H-M 'P 1'
_symmetry_Int_Tables_number 1
loop_
_symmetry_equiv_pos_as_xyz
'x,y,z'
loop_
_atom_site_label
_atom_site_type_symbol
_atom_site_fract_x
_atom_site_fract_y
_atom_site_fract_z
Na1 Na 0.495 0.425 0.786
Na2 Na 0.995 0.575 0.714
Na3 Na 0.005 0.425 0.286
Na4 Na 0.505 0.575 0.214
O1 O 0.835 0.015 0.794
O2 O 0.827 0.505 0.060
O3 O 0.665 0.015 0.294
O4 O 0.369 0.193 0.071
O5 O 0.165 0.985 0.206
O6 O 0.631 0.807 0.929
O7 O 0.335 0.985 0.706
O8 O 0.173 0.495 0.940
O9 O 0.327 0.495 0.440
O10 O 0.869 0.807 0.429
O11 O 0.131 0.193 0.571
O12 O 0.673 0.505 0.560
C1 C 0.760 0.787 0.923
C2 C 0.240 0.213 0.077
C3 C 0.260 0.213 0.577
C4 C 0.740 0.787 0.423
H1 H 0.758 0.310 0.151
H2 H 0.242 0.690 0.849
H3 H 0.742 0.310 0.651
H4 H 0.258 0.690 0.349
# E above lowest polymorph	0.000	eV per atom
# space group	P2_1/c (14)
# total DFT energy (no corrections)	-0.463	Ry per atom

Entry 3:
# Na2H2CO4 (PBE-GGA, relaxed)
data_Na2H2CO4
_cell_length_a 5.318
_cell_length_b 6.508
_cell_length_c 10.818
_cell_angle_alpha 90.00
_cell_angle_beta 90.00
_cell_angle_gamma 90.00
_symmetry_space_group_name_H-M 'P 1'
_symmetry_Int_Tables_number 1
loop_
_symmetry_equiv_pos_as_xyz
'x,y,z'
loop_
_atom_site_label
_atom_site_type_symbol
_atom_site_fract_x
_atom_site_fract_y
_atom_site_fract_z
H1 H 0.895 0.919 0.409
H2 H 0.105 0.419 0.591
H3 H 0.105 0.919 0.909
H4 H 0.180 0.647 0.564
H5 H 0.180 0.147 0.936
H6 H 0.895 0.419 0.091
H7 H 0.820 0.647 0.064
H8 H 0.820 0.147 0.436
O1 O 0.076 0.533 0.529
O2 O 0.431 0.794 0.634
O3 O 0.924 0.533 0.029
O4 O 0.924 0.033 0.471
O5 O 0.427 0.796 0.331
O6 O 0.843 0.764 0.292
O7 O 0.427 0.296 0.169
O8 O 0.569 0.794 0.134
O9 O 0.157 0.264 0.708
O10 O 0.569 0.294 0.366
O11 O 0.843 0.264 0.208
O12 O 0.431 0.294 0.866
O13 O 0.157 0.764 0.792
O14 O 0.076 0.033 0.971
O15 O 0.573 0.296 0.669
O16 O 0.573 0.796 0.831
C1 C 0.612 0.785 0.253
C2 C 0.388 0.285 0.747
C3 C 0.388 0.785 0.753
C4 C 0.612 0.285 0.247
Na1 Na 0.144 0.497 0.309
Na2 Na 0.366 0.068 0.501
Na3 Na 0.856 0.497 0.809
Na4 Na 0.144 0.997 0.191
Na5 Na 0.634 0.568 0.499
Na6 Na 0.366 0.568 0.999
Na7 Na 0.856 0.997 0.691
Na8 Na 0.634 0.068 0.001
# space group	Pca2_1 (29)
# total DFT energy (no corrections)	-0.424	Ry per atom

Entry 4:
# Na2HC2O6 (PBE-GGA, relaxed)
data_Na2HC2O6
_cell_length_a 4.534
_cell_length_b 5.828
_cell_length_c 5.836
_cell_angle_alpha 117.95
_cell_angle_beta 90.00
_cell_angle_gamma 112.89
_symmetry_space_group_name_H-M 'P 1'
_symmetry_Int_Tables_number 1
loop_
_symmetry_equiv_pos_as_xyz
'x,y,z'
loop_
_atom_site_label
_atom_site_type_symbol
_atom_site_fract_x
_atom_site_fract_y
_atom_site_fract_z
O1 O 0.312 0.141 0.761
O2 O 0.170 0.859 0.239
O3 O 0.132 0.263 0.315
O4 O 0.868 0.737 0.685
O5 O 0.688 0.859 0.239
O6 O 0.830 0.141 0.761
Na1 Na 0.701 0.403 0.201
Na2 Na 0.299 0.597 0.799
C1 C 0.997 0.995 0.733
C2 C 0.003 0.005 0.267
H1 H 0.500 0.000 0.500
# space group	C2/m (12)
# total DFT energy (no corrections)	-0.446	Ry per atom